Density functional theory data (PBE with a Hubbard U) for an optimized crystal structure of LiMnBO3.

POSCAR file:
```
LiMnBO3
1.0
-2.610 -4.625 -2.366
5.002 -3.116 0.573
-3.834 -3.956 11.961
O B Li Mn
24 8 8 8
direct
0.900 0.360 0.592
0.100 0.140 0.092
0.898 0.640 0.091
0.600 0.860 0.408
0.602 0.140 0.909
0.250 0.500 0.250
0.750 0.000 0.250
0.398 0.360 0.409
0.250 0.500 0.750
0.398 0.860 0.091
0.750 0.500 0.250
0.600 0.360 0.092
0.900 0.860 0.908
0.250 0.000 0.750
0.100 0.640 0.408
0.750 0.500 0.750
0.102 0.860 0.591
0.602 0.640 0.591
0.102 0.360 0.909
0.898 0.140 0.409
0.400 0.140 0.592
0.250 0.000 0.250
0.400 0.640 0.908
0.750 0.000 0.750
0.251 0.500 0.854
0.249 0.000 0.146
0.249 0.500 0.354
0.749 0.500 0.146
0.751 0.000 0.854
0.751 0.500 0.646
0.251 0.000 0.646
0.749 0.000 0.354
0.499 0.766 0.250
0.001 0.266 0.750
0.501 0.734 0.750
0.001 0.766 0.750
0.999 0.734 0.250
0.501 0.234 0.750
0.499 0.266 0.250
0.999 0.234 0.250
0.251 0.000 0.932
0.249 0.500 0.068
0.251 0.500 0.568
0.749 0.000 0.068
0.751 0.000 0.568
0.249 0.000 0.432
0.751 0.500 0.932
0.749 0.500 0.432
```

The space group is Pbca. Its magnetic moment is 40.00 μB/cell. The energy above the most stable polymorph in this dataset is 0.0701 eV per atom.